1.
An optimized crystal structure of LiNbCd2, computed with GGA-PBE. Values from VASP.

Results
**E**: -23.5 eV/cell
**V**: 159.34 Å³ per cell
**Energy of formation**: 0.520 eV per atom
**N(E_F)**: 0.42 states/eV per atom
**Offset from the most stable computed form**: 526.9 meV per atom
**ρ**: 6.8 g/cm³
**Space-group type**: I-42d, No. 122
**Spin magnetization**: 3.935 Bohr magnetons per cell

```
&SYSTEM
  ibrav = 0, nat = 8, ntyp = 3
/
ATOMIC_SPECIES
Li 6.94 Li.upf
Nb 92.91 Nb.upf
Cd 112.41 Cd.upf
CELL_PARAMETERS angstrom
-3.713 3.713 2.889
3.713 -3.713 2.889
3.713 3.713 -2.889
ATOMIC_POSITIONS crystal
Li 0.000 0.000 0.000
Li 0.750 0.250 0.500
Nb 0.250 0.750 0.500
Nb 0.500 0.500 0.000
Cd 0.092 0.625 0.967
Cd 0.375 0.342 0.467
Cd 0.658 0.125 0.033
Cd 0.875 0.908 0.533
```

2.
An optimized crystal structure of LiNbCd2, computed with GGA-PBE. Values from VASP.

Results
**E**: -13.8 eV/cell
**V**: 73.69 Å³ per cell
**Energy of formation**: -0.007 eV per atom
**N(E_F)**: 0.47 states/eV per atom
**Offset from the most stable computed form**: 0.0 meV per atom
**ρ**: 7.3 g/cm³
**Space-group type**: P4/mmm, No. 123
**Spin magnetization**: 0.000 Bohr magnetons per cell

```
&SYSTEM
  ibrav = 0, nat = 4, ntyp = 3
/
ATOMIC_SPECIES
Li 6.94 Li.upf
Nb 92.91 Nb.upf
Cd 112.41 Cd.upf
CELL_PARAMETERS angstrom
2.989 0.000 0.000
0.000 2.989 0.000
0.000 0.000 8.249
ATOMIC_POSITIONS crystal
Li 0.000 0.000 0.000
Nb 0.000 0.000 0.500
Cd 0.500 0.500 0.235
Cd 0.500 0.500 0.765
```

3.
An optimized crystal structure of LiNbCd2, computed with GGA-PBE. Values from VASP.

Results
**E**: -12.8 eV/cell
**V**: 75.89 Å³ per cell
**Energy of formation**: 0.245 eV per atom
**N(E_F)**: 0.52 states/eV per atom
**Offset from the most stable computed form**: 251.8 meV per atom
**ρ**: 7.1 g/cm³
**Space-group type**: Fm-3m, No. 225
**Spin magnetization**: 0.000 Bohr magnetons per cell

```
&SYSTEM
  ibrav = 0, nat = 4, ntyp = 3
/
ATOMIC_SPECIES
Li 6.94 Li.upf
Nb 92.91 Nb.upf
Cd 112.41 Cd.upf
CELL_PARAMETERS angstrom
0.000 3.360 3.360
3.360 0.000 3.360
3.360 3.360 0.000
ATOMIC_POSITIONS crystal
Li 0.000 0.000 0.000
Nb 0.500 0.500 0.500
Cd 0.250 0.250 0.250
Cd 0.750 0.750 0.750
```

4.
An optimized crystal structure of Li2NbCd, computed with GGA-PBE. Values from VASP.

Results
**E**: -13.9 eV/cell
**V**: 75.31 Å³ per cell
**Energy of formation**: 0.228 eV per atom
**N(E_F)**: 0.71 states/eV per atom
**ρ**: 4.8 g/cm³
**Space-group type**: R-3m, No. 166
**Spin magnetization**: 0.000 Bohr magnetons per cell

```
&SYSTEM
  ibrav = 0, nat = 4, ntyp = 3
/
ATOMIC_SPECIES
Li 6.94 Li.upf
Nb 92.91 Nb.upf
Cd 112.41 Cd.upf
CELL_PARAMETERS angstrom
1.428 0.824 10.665
-1.428 0.824 10.665
0.000 -1.649 10.665
ATOMIC_POSITIONS crystal
Li 0.087 0.087 0.087
Li 0.913 0.913 0.913
Nb 0.000 0.000 0.000
Cd 0.500 0.500 0.500
```

5.
An optimized crystal structure of LiNbCdO4, computed with GGA-PBE. Values from VASP.

Results
**E**: -94.1 eV/cell
**V**: 194.01 Å³ per cell
**N(E_F)**: 0.00 states/eV per atom
**ρ**: 4.7 g/cm³
**Space-group type**: Cmcm, No. 63
**Spin magnetization**: 0.000 Bohr magnetons per cell
**Raw formation energy**: -14.295 eV per formula unit

```
&SYSTEM
  ibrav = 0, nat = 14, ntyp = 4
/
ATOMIC_SPECIES
Li 6.94 Li.upf
Nb 92.91 Nb.upf
Cd 112.41 Cd.upf
O 16.00 O.upf
CELL_PARAMETERS angstrom
3.125 -4.663 0.000
3.125 4.663 0.000
0.000 0.000 6.657
ATOMIC_POSITIONS crystal
Li 0.162 0.838 0.750
Li 0.838 0.162 0.250
Nb 0.143 0.857 0.250
Nb 0.857 0.143 0.750
Cd 0.500 0.500 0.000
Cd 0.500 0.500 0.500
O 0.221 0.243 0.750
O 0.243 0.221 0.250
O 0.253 0.747 0.016
O 0.253 0.747 0.484
O 0.747 0.253 0.516
O 0.747 0.253 0.984
O 0.757 0.779 0.750
O 0.779 0.757 0.250
```

6.
An optimized crystal structure of LiNbCd2O5, computed with GGA-PBE. Values from VASP.

Results
**E**: -107.7 eV/cell
**V**: 252.55 Å³ per cell
**ρ**: 5.3 g/cm³
**Space-group type**: Cmc2_1, No. 36
**Spin magnetization**: 0.000 Bohr magnetons per cell
**Raw formation energy**: -15.256 eV per formula unit

```
&SYSTEM
  ibrav = 0, nat = 18, ntyp = 4
/
ATOMIC_SPECIES
Li 6.94 Li.upf
Nb 92.91 Nb.upf
Cd 112.41 Cd.upf
O 16.00 O.upf
CELL_PARAMETERS angstrom
1.719 -6.853 0.000
1.719 6.853 0.000
0.000 0.000 10.718
ATOMIC_POSITIONS crystal
Li 0.183 0.817 0.500
Li 0.817 0.183 0.000
Nb 0.468 0.532 0.858
Nb 0.532 0.468 0.358
Cd 0.122 0.878 0.066
Cd 0.199 0.801 0.769
Cd 0.801 0.199 0.269
Cd 0.878 0.122 0.566
O 0.026 0.974 0.449
O 0.270 0.730 0.137
O 0.332 0.668 0.890
O 0.381 0.619 0.396
O 0.466 0.534 0.685
O 0.534 0.466 0.185
O 0.619 0.381 0.896
O 0.668 0.332 0.390
O 0.730 0.270 0.637
O 0.974 0.026 0.949
```

7.
An optimized crystal structure of Li2NbCd2O6, computed with GGA-PBE. Values from VASP.

Results
**E**: -63.1 eV/cell
**V**: 142.00 Å³ per cell
**N(E_F)**: 0.24 states/eV per atom
**ρ**: 5.0 g/cm³
**Space-group type**: C2/m, No. 12
**Spin magnetization**: 1.054 Bohr magnetons per cell
**Raw formation energy**: -17.594 eV per formula unit

```
&SYSTEM
  ibrav = 0, nat = 11, ntyp = 4
/
ATOMIC_SPECIES
Li 6.94 Li.upf
Nb 92.91 Nb.upf
Cd 112.41 Cd.upf
O 16.00 O.upf
CELL_PARAMETERS angstrom
2.921 -4.817 0.000
2.921 4.817 0.000
-1.922 0.000 5.047
ATOMIC_POSITIONS crystal
Li 0.150 0.850 0.000
Li 0.850 0.150 0.000
Nb 0.000 0.000 0.500
Cd 0.339 0.661 0.500
Cd 0.661 0.339 0.500
O 0.048 0.355 0.735
O 0.217 0.217 0.277
O 0.355 0.048 0.735
O 0.645 0.952 0.265
O 0.783 0.783 0.723
O 0.952 0.645 0.265
```

8.
An optimized crystal structure of LiNbCdPd, computed with GGA-PBE. Values from VASP.

Results
**E**: -18.5 eV/cell
**V**: 65.30 Å³ per cell
**Energy of formation**: -0.110 eV per atom
**N(E_F)**: 0.06 states/eV per atom
**ρ**: 8.1 g/cm³
**Space-group type**: F-43m, No. 216
**Spin magnetization**: 0.000 Bohr magnetons per cell

```
&SYSTEM
  ibrav = 0, nat = 4, ntyp = 4
/
ATOMIC_SPECIES
Li 6.94 Li.upf
Nb 92.91 Nb.upf
Cd 112.41 Cd.upf
Pd 106.42 Pd.upf
CELL_PARAMETERS angstrom
0.000 3.196 3.196
3.196 0.000 3.196
3.196 3.196 0.000
ATOMIC_POSITIONS crystal
Li 0.000 0.000 0.000
Nb 0.750 0.750 0.750
Cd 0.250 0.250 0.250
Pd 0.500 0.500 0.500
```

9.
An optimized crystal structure of RbLiNb2Cd, computed with GGA-PBE. Values from VASP.

Results
**E**: -16.7 eV/cell
**V**: 121.10 Å³ per cell
**Energy of formation**: 1.442 eV per atom
**N(E_F)**: 0.95 states/eV per atom
**ρ**: 5.4 g/cm³
**Space-group type**: P4/mmm, No. 123
**Spin magnetization**: 2.421 Bohr magnetons per cell

```
&SYSTEM
  ibrav = 0, nat = 5, ntyp = 4
/
ATOMIC_SPECIES
Rb 85.47 Rb.upf
Li 6.94 Li.upf
Nb 92.91 Nb.upf
Cd 112.41 Cd.upf
CELL_PARAMETERS angstrom
4.804 0.000 0.000
0.000 4.804 0.000
0.000 0.000 5.246
ATOMIC_POSITIONS crystal
Rb 0.000 0.000 0.000
Li 0.500 0.500 0.500
Nb 0.000 0.500 0.500
Nb 0.500 0.000 0.500
Cd 0.500 0.500 0.000
```

10.
An optimized crystal structure of LiNb2VCd, computed with GGA-PBE. Values from VASP.

Results
**E**: -27.7 eV/cell
**V**: 102.44 Å³ per cell
**Energy of formation**: 0.870 eV per atom
**N(E_F)**: 0.81 states/eV per atom
**ρ**: 5.8 g/cm³
**Space-group type**: P4/mmm, No. 123
**Spin magnetization**: 0.000 Bohr magnetons per cell

```
&SYSTEM
  ibrav = 0, nat = 5, ntyp = 4
/
ATOMIC_SPECIES
Li 6.94 Li.upf
Nb 92.91 Nb.upf
V 50.94 V.upf
Cd 112.41 Cd.upf
CELL_PARAMETERS angstrom
4.603 0.000 0.000
0.000 4.603 0.000
0.000 0.000 4.835
ATOMIC_POSITIONS crystal
Li 0.000 0.000 0.000
Nb 0.000 0.500 0.500
Nb 0.500 0.000 0.500
V 0.000 0.000 0.500
Cd 0.500 0.500 0.000
```

11.
An optimized crystal structure of LiNbCdW2, computed with GGA-PBE. Values from VASP.

Results
**E**: -30.1 eV/cell
**V**: 124.82 Å³ per cell
**Energy of formation**: 1.751 eV per atom
**N(E_F)**: 0.90 states/eV per atom
**ρ**: 7.7 g/cm³
**Space-group type**: P4/mmm, No. 123
**Spin magnetization**: 1.087 Bohr magnetons per cell

```
&SYSTEM
  ibrav = 0, nat = 5, ntyp = 4
/
ATOMIC_SPECIES
Li 6.94 Li.upf
Nb 92.91 Nb.upf
Cd 112.41 Cd.upf
W 183.84 W.upf
CELL_PARAMETERS angstrom
4.778 0.000 0.000
0.000 4.778 0.000
0.000 0.000 5.466
ATOMIC_POSITIONS crystal
Li 0.000 0.000 0.000
Nb 0.500 0.500 0.500
Cd 0.500 0.500 0.000
W 0.000 0.500 0.500
W 0.500 0.000 0.500
```

12.
An optimized crystal structure of Li5Nd2Cd12, computed with GGA-PBE. Values from VASP.

Results
**E**: -34.7 eV/cell
**V**: 410.35 Å³ per cell
**Energy of formation**: -0.245 eV per atom
**N(E_F)**: 0.56 states/eV per atom
**ρ**: 6.8 g/cm³
**Space-group type**: R-3m, No. 166
**Spin magnetization**: 0.000 Bohr magnetons per cell

```
&SYSTEM
  ibrav = 0, nat = 19, ntyp = 3
/
ATOMIC_SPECIES
Li 6.94 Li.upf
Nd 144.24 Nd.upf
Cd 112.41 Cd.upf
CELL_PARAMETERS angstrom
4.939 2.852 4.856
-4.939 2.852 4.856
0.000 -5.703 4.856
ATOMIC_POSITIONS crystal
Li 0.000 0.000 0.500
Li 0.000 0.500 0.000
Li 0.099 0.099 0.099
Li 0.500 0.000 0.000
Li 0.901 0.901 0.901
Nd 0.345 0.345 0.345
Nd 0.655 0.655 0.655
Cd 0.000 0.296 0.704
Cd 0.000 0.704 0.296
Cd 0.140 0.655 0.655
Cd 0.296 0.000 0.704
Cd 0.296 0.704 0.000
Cd 0.345 0.345 0.860
Cd 0.345 0.860 0.345
Cd 0.655 0.140 0.655
Cd 0.655 0.655 0.140
Cd 0.704 0.000 0.296
Cd 0.704 0.296 0.000
Cd 0.860 0.345 0.345
```